[1]
A plane-wave DFT calculation with PBE was carried out for crystalline YTiMn4 at its relaxed geometry.

## Properties
* space group: F-43m (216)
* DFT formation energy: 0.02 eV/atom
* crystal system: cubic
* DFT total energy: -8.49 eV/atom
* DOS at the Fermi energy: 7.060 states/eV/f.u.

```
6
Lattice="4.949 0.000 0.000 2.475 4.286 0.000 2.475 1.429 4.041" Properties=species:S:1:pos:R:3 pbc="T T T"
Mn 4.949 1.439 2.522
Mn 3.721 3.567 2.522
Mn 4.949 2.857 0.516
Mn 6.178 3.567 2.522
Ti 2.475 1.429 1.010
Y 0.000 0.000 0.000
```

[2]
A plane-wave DFT calculation with PBE was carried out for crystalline ReP3Ir at its relaxed geometry.

## Properties
* space group: Pm-3m (221)
* energy above the lowest structure with this stoichiometry: 0.000 eV per atom
* DFT formation energy: 1.09 eV/atom
* crystal system: cubic
* DFT total energy: -6.42 eV/atom
* DOS at the Fermi energy: 2.648 states/eV/f.u.

```
5
Lattice="-4.334 -1.299 -0.460 -0.319 -0.532 4.505 -1.340 4.326 0.416" Properties=species:S:1:pos:R:3 pbc="T T T"
P -0.160 -0.266 2.253
P -0.670 2.163 0.208
P -2.167 -0.649 -0.230
Re 0.000 0.000 0.000
Ir -2.997 1.248 2.231
```

[3]
A plane-wave DFT calculation with PBE was carried out for crystalline AcMg2Zr at its relaxed geometry.

## Properties
* space group: R-3m (166)
* energy above the lowest structure with this stoichiometry: 0.163 eV per atom
* DFT formation energy: 0.25 eV/atom
* crystal system: trigonal
* DFT total energy: -3.72 eV/atom
* DOS at the Fermi energy: 5.248 states/eV/f.u.

```
4
Lattice="-3.073 1.540 0.344 -1.523 0.144 3.097 3.511 10.170 3.180" Properties=species:S:1:pos:R:3 pbc="T T T"
Ac -0.542 5.927 3.310
Mg -0.399 2.720 1.604
Mg -0.686 9.134 5.017
Zr 0.000 0.000 0.000
```